(a)
Compound: KTl3Ni
Source: Alexandria
Functional: GGA-PBE
Structure: relaxed

Geometry as extended XYZ:
```
5
Lattice="-2.156 -4.347 -2.023 3.185 -2.957 2.958 -3.584 -0.013 3.846" Properties=species:S:1:pos:R:3 pbc="T T T"
Ni 0.000 0.000 0.000
Tl 1.592 -1.478 1.479
Tl -1.792 -0.006 1.923
Tl -1.078 -2.173 -1.012
K -1.278 -3.658 2.390
```

Properties
density = 8.13 g/cm³
space-group type = Pm-3m
calculated volume = 145.29 Å³ per cell
N(E_F) = 0.605 states/eV/atom

(b)
Compound: KTl3Ni
Source: Alexandria
Functional: GGA-PBE
Structure: relaxed

Geometry as extended XYZ:
```
5
Lattice="6.097 0.000 0.000 0.000 6.097 0.000 0.000 0.000 6.097" Properties=species:S:1:pos:R:3 pbc="T T T"
Ni 3.048 3.048 3.048
Tl 0.000 3.048 0.000
Tl 0.000 0.000 3.048
Tl 3.048 0.000 0.000
K 0.000 0.000 0.000
```

Properties
density = 5.21 g/cm³
space-group type = Pm-3m
calculated volume = 226.61 Å³ per cell
N(E_F) = 1.855 states/eV/atom

Which one sits at the bottom of the stability order? (b) does.